An optimized crystal structure of Sc2Zn2O5. Source: OQMD, functional GGA-PBE.

Computed properties:
Distance to the lowest polymorph of the same formula   0 meV per atom
Space-group type   No. 123
Density   4.379 Mg/m³

Unit cell a=7.906 b=3.798 c=3.798 alpha=90.00 beta=90.00 gamma=90.00
Fractional positions:
1 O 0.500 0.500 0.500
2 O 0.834 0.000 0.500
3 O 0.166 0.500 0.000
4 O 0.166 0.000 0.500
5 O 0.834 0.500 0.000
6 Zn 0.000 0.000 0.000
7 Zn 0.500 0.000 0.000
8 Sc 0.243 0.500 0.500
9 Sc 0.757 0.500 0.500